POs2Se: relaxed, GGA-PBE.

The structure in POSCAR format:
```
POs2Se
1.0
1.482 0.856 7.609
-1.482 0.856 7.609
0.000 -1.711 7.609
P Os Se
1 2 1
Direct
0.000 0.000 0.000
0.257 0.257 0.257
0.743 0.743 0.743
0.500 0.500 0.500
```

Values from the calculation:
The total energy comes out at -30.18 eV/cell. Its polymorph energy (0 for the lowest one) is 96 meV per atom.